1.
DFT (PBEsol) results for a relaxed CoSi2Se crystal.

Unit cell a=4.4091 b=4.4091 c=4.4091 alpha=124.88 beta=124.88 gamma=81.74
Last column: nearest neighbours and their distance in Å.
Element x y z (fractional)
Co (0.0000, 0.0000, 0.0000)  4 Se 2.63, 8 Si 2.63-2.89
Si (0.2500, 0.7500, 0.5000)  4 Co 2.63, 4 Si 2.63, 4 Se 2.89
Si (0.5000, 0.5000, 0.0000)  4 Se 2.63, 4 Si 2.63, 4 Co 2.89
Se (0.7500, 0.2500, 0.5000)  4 Co 2.63, 8 Si 2.63-2.89

Computed properties:
Density of states at the Fermi level: 0.71 states/eV per atom
SG: I-4m2, No. 119
Raw total energy: -21.5 eV per cell

=====

2.
DFT (PBEsol) results for a relaxed Tl2CoBr crystal.

Unit cell a=8.2498 b=8.2498 c=8.2498 alpha=157.19 beta=154.04 gamma=34.83
Last column: nearest neighbours and their distance in Å.
Element x y z (fractional)
Tl (0.0000, 0.0000, 0.0000)  4 Co 2.68
Tl (0.6678, 0.1678, 0.5000)  4 Tl 3.23-3.26, 4 Br 3.47
Co (0.4335, 0.4335, 0.0000)  2 Br 2.39
Br (0.3228, 0.8228, 0.5000)  2 Co 2.39

Computed properties:
Density of states at the Fermi level: 0.85 states/eV per atom
SG: Imm2, No. 44
Raw total energy: -14.2 eV per cell

=====

3.
DFT (PBEsol) results for a relaxed NbCrNi crystal.

Unit cell a=7.7882 b=4.8608 c=4.8608 alpha=58.13 beta=90.00 gamma=90.00
Last column: nearest neighbours and their distance in Å.
Element x y z (fractional)
Nb (0.1890, 0.0000, 0.0000)  7 Ni 2.78-2.87, 5 Cr 2.78-2.90, 4 Nb 2.93-2.94
Nb (0.3103, 0.3279, 0.3279)  5 Ni 2.77-2.80, 7 Cr 2.78-2.89, 4 Nb 2.93-2.96
Nb (0.6897, 0.3279, 0.3279)  5 Ni 2.77-2.80, 7 Cr 2.78-2.89, 4 Nb 2.93-2.96
Nb (0.8110, 0.0000, 0.0000)  7 Ni 2.78-2.87, 5 Cr 2.78-2.90, 4 Nb 2.93-2.94
Cr (0.2512, 0.6637, 0.6637)  2 Cr 2.37, 4 Ni 2.39-2.44
Cr (0.5000, 0.3324, 0.8307)  4 Cr 2.35-2.37, 2 Ni 2.38-2.48
Cr (0.5000, 0.8307, 0.3324)  4 Cr 2.35-2.37, 2 Ni 2.38-2.48
Cr (0.7488, 0.6637, 0.6637)  2 Cr 2.37, 4 Ni 2.39-2.44
Ni (0.0000, 0.4943, 0.4943)  4 Ni 2.41-2.45, 2 Cr 2.43
Ni (0.0000, 0.4940, 0.9983)  4 Ni 2.34-2.45, 2 Cr 2.39
Ni (0.0000, 0.9983, 0.4940)  4 Ni 2.34-2.45, 2 Cr 2.39
Ni (0.5000, 0.8390, 0.8390)  6 Cr 2.38-2.48

Computed properties:
Density of states at the Fermi level: 1.21 states/eV per atom
Formation energy from the elements: -113 meV per atom
SG: Amm2, No. 38
Raw total energy: -110.2 eV per cell

=====

4.
DFT (PBEsol) results for a relaxed BaNaAlF6 crystal.

Unit cell a=18.5800 b=5.4155 c=9.8780 alpha=90.00 beta=90.00 gamma=90.00
Last column: nearest neighbours and their distance in Å.
Element x y z (fractional)
Ba (0.1103, 0.2393, 0.0000)  8 F 2.60-2.88
Ba (0.1386, 0.7347, 0.6318)  8 F 2.60-2.84
Ba (0.3614, 0.2347, 0.1318)  8 F 2.60-2.84
Ba (0.3897, 0.7393, 0.5000)  8 F 2.60-2.88
Ba (0.6103, 0.2607, 0.0000)  8 F 2.60-2.88
Ba (0.6386, 0.7653, 0.6318)  8 F 2.60-2.84
Ba (0.8614, 0.2653, 0.1318)  8 F 2.60-2.84
Ba (0.8897, 0.7607, 0.5000)  8 F 2.60-2.88
Na (0.0663, 0.7351, 0.2652)  7 F 2.29-2.54
Na (0.1860, 0.2427, 0.3665)  7 F 2.32-2.54
Na (0.3140, 0.7427, 0.8665)  7 F 2.32-2.54
Na (0.4337, 0.2351, 0.7652)  7 F 2.29-2.54
Na (0.5663, 0.7649, 0.2652)  7 F 2.29-2.54
Na (0.6860, 0.2573, 0.3665)  7 F 2.32-2.54
Na (0.8140, 0.7573, 0.8665)  7 F 2.32-2.54
Na (0.9337, 0.2649, 0.7652)  7 F 2.29-2.54
Al (0.0071, 0.2292, 0.3910)  6 F 1.80-1.83
Al (0.2438, 0.7529, 0.2396)  6 F 1.80-1.83
Al (0.2562, 0.2529, 0.7396)  6 F 1.80-1.83
Al (0.4929, 0.7292, 0.8910)  6 F 1.80-1.83
Al (0.5071, 0.2708, 0.3910)  6 F 1.80-1.83
Al (0.7438, 0.7471, 0.2396)  6 F 1.80-1.83
Al (0.7562, 0.2471, 0.7396)  6 F 1.80-1.83
Al (0.9929, 0.7708, 0.8910)  6 F 1.80-1.83
F (0.0323, 0.5120, 0.7990)  1 Al 1.82
F (0.0367, 0.9510, 0.4784)  1 Al 1.82
F (0.0553, 0.7141, 0.0290)  1 Al 1.81
F (0.0579, 0.9696, 0.8043)  1 Al 1.83
F (0.0697, 0.1634, 0.2526)  1 Al 1.83
F (0.0758, 0.4279, 0.4584)  1 Al 1.80
F (0.1768, 0.5479, 0.1717)  1 Al 1.80
F (0.1807, 0.8124, 0.3782)  1 Al 1.83
F (0.1932, 0.2027, 0.6023)  1 Al 1.81
F (0.1933, 0.4605, 0.8260)  1 Al 1.83
F (0.2117, 0.0267, 0.1517)  1 Al 1.82
F (0.2156, 0.9981, 0.8318)  1 Al 1.82
F (0.2844, 0.4981, 0.3318)  1 Al 1.82
F (0.2883, 0.5267, 0.6517)  1 Al 1.82
F (0.3068, 0.7027, 0.1023)  1 Al 1.81
F (0.3067, 0.9605, 0.3260)  1 Al 1.83
F (0.3193, 0.3124, 0.8782)  1 Al 1.83
F (0.3232, 0.0479, 0.6717)  1 Al 1.80
F (0.4242, 0.9279, 0.9584)  1 Al 1.80
F (0.4303, 0.6634, 0.7526)  1 Al 1.83
F (0.4421, 0.4696, 0.3043)  1 Al 1.83
F (0.4447, 0.2141, 0.5290)  1 Al 1.81
F (0.4633, 0.4510, 0.9784)  1 Al 1.82
F (0.4677, 0.0120, 0.2990)  1 Al 1.82
F (0.5323, 0.9880, 0.7990)  1 Al 1.82
F (0.5367, 0.5490, 0.4784)  1 Al 1.82
F (0.5553, 0.7859, 0.0290)  1 Al 1.81
F (0.5579, 0.5304, 0.8043)  1 Al 1.83
F (0.5697, 0.3366, 0.2526)  1 Al 1.83
F (0.5758, 0.0721, 0.4584)  1 Al 1.80
F (0.6768, 0.9521, 0.1717)  1 Al 1.80
F (0.6807, 0.6876, 0.3782)  1 Al 1.83
F (0.6933, 0.0395, 0.8260)  1 Al 1.83
F (0.6932, 0.2973, 0.6023)  1 Al 1.81
F (0.7117, 0.4733, 0.1517)  1 Al 1.82
F (0.7156, 0.5019, 0.8318)  1 Al 1.82
F (0.7844, 0.0019, 0.3318)  1 Al 1.82
F (0.7883, 0.9733, 0.6517)  1 Al 1.82
F (0.8067, 0.5395, 0.3260)  1 Al 1.83
F (0.8068, 0.7973, 0.1023)  1 Al 1.81
F (0.8193, 0.1876, 0.8782)  1 Al 1.83
F (0.8232, 0.4521, 0.6717)  1 Al 1.80
F (0.9242, 0.5721, 0.9584)  1 Al 1.80
F (0.9303, 0.8366, 0.7526)  1 Al 1.83
F (0.9421, 0.0304, 0.3043)  1 Al 1.83
F (0.9447, 0.2859, 0.5290)  1 Al 1.81
F (0.9633, 0.0490, 0.9784)  1 Al 1.82
F (0.9677, 0.4880, 0.2990)  1 Al 1.82

Computed properties:
Density of states at the Fermi level: 0.00 states/eV per atom
SG: Pna2_1, No. 33
Raw total energy: -410.1 eV per cell

=====

- What is the density of states at the Fermi level in the second record?
  0.85 states/eV per atom

=====

- Which formula does entry 3 have?
  NbCrNi

=====

- Which of these has the highest density of states at the Fermi level?
  NbCrNi